(a)
Entry from Alexandria via LeMat-Bulk: an optimized crystal structure of SiSOF2 (PBE).

Its density of states at the Fermi level is 3.469 states/eV per cell.

The space group is P4/mmm (No. 123) and the conventional cell measures 4.714, 4.714 and 3.365 Å, with angles of 90.00, 90.00 and 90.00 degrees. The asymmetric unit holds Si at (0.000, 0.000, 0.000), S at (0.500, 0.500, 0.500), O at (0.500, 0.500, 0.000) and F at (0.000, 0.500, 0.500).

(b)
Entry from Alexandria via LeMat-Bulk: an optimized crystal structure of SiSOF2 (PBE).

Its density of states at the Fermi level is 1.075 states/eV per cell.

The space group is P4/mmm (No. 123) and the conventional cell measures 4.153, 4.153 and 3.344 Å, with angles of 90.00, 90.00 and 90.00 degrees. The asymmetric unit holds Si at (0.000, 0.000, 0.000), S at (0.500, 0.500, 0.500), O at (0.000, 0.000, 0.500) and F at (0.000, 0.500, 0.000).

The computed energies, referenced to the most stable structure and given in meV per atom, are (a) 838; (b) 0.

(a)
Entry from Alexandria via LeMat-Bulk: an optimized crystal structure of SnSOF2 (PBE).

Its density of states at the Fermi level is 0.975 states/eV per cell.

The space group is P4/mmm (No. 123) and the conventional cell measures 4.351, 4.351 and 3.992 Å, with angles of 90.00, 90.00 and 90.00 degrees. The asymmetric unit holds Sn at (0.000, 0.000, 0.000), S at (0.500, 0.500, 0.500), O at (0.000, 0.000, 0.500) and F at (0.000, 0.500, 0.000).

(b)
Entry from Alexandria via LeMat-Bulk: an optimized crystal structure of SnSOF2 (PBE).

Its density of states at the Fermi level is 2.618 states/eV per cell.

The space group is P4/mmm (No. 123) and the conventional cell measures 4.883, 4.883 and 3.401 Å, with angles of 90.00, 90.00 and 90.00 degrees. The asymmetric unit holds Sn at (0.000, 0.000, 0.000), S at (0.500, 0.500, 0.500), O at (0.500, 0.500, 0.000) and F at (0.000, 0.500, 0.500).

The computed energies, referenced to the most stable structure and given in meV per atom, are (a) 0; (b) 233.

(a)
Entry from Alexandria via LeMat-Bulk: an optimized crystal structure of TcSOF2 (PBE).

Its density of states at the Fermi level is 4.215 states/eV per cell.

The space group is P4/mmm (No. 123) and the conventional cell measures 4.234, 4.234 and 3.773 Å, with angles of 90.00, 90.00 and 90.00 degrees. The asymmetric unit holds Tc at (0.000, 0.000, 0.000), S at (0.500, 0.500, 0.500), O at (0.000, 0.000, 0.500) and F at (0.000, 0.500, 0.000).

(b)
Entry from Alexandria via LeMat-Bulk: an optimized crystal structure of TcSOF2 (PBE).

Its density of states at the Fermi level is 2.055 states/eV per cell.

The space group is P4/mmm (No. 123) and the conventional cell measures 4.709, 4.709 and 3.395 Å, with angles of 90.00, 90.00 and 90.00 degrees. The asymmetric unit holds Tc at (0.000, 0.000, 0.000), S at (0.500, 0.500, 0.500), O at (0.500, 0.500, 0.000) and F at (0.000, 0.500, 0.500).

The computed energies, referenced to the most stable structure and given in meV per atom, are (a) 0; (b) 697.

(a)
Entry from Alexandria via LeMat-Bulk: an optimized crystal structure of TiSOF2 (PBE).

Its density of states at the Fermi level is 5.543 states/eV per cell.

The space group is P4/mmm (No. 123) and the conventional cell measures 4.689, 4.689 and 3.405 Å, with angles of 90.00, 90.00 and 90.00 degrees. The asymmetric unit holds Ti at (0.000, 0.000, 0.000), S at (0.500, 0.500, 0.500), O at (0.500, 0.500, 0.000) and F at (0.000, 0.500, 0.500).

(b)
Entry from Alexandria via LeMat-Bulk: an optimized crystal structure of TiSOF2 (PBE).

Its density of states at the Fermi level is 1.694 states/eV per cell.

The space group is P4/mmm (No. 123) and the conventional cell measures 4.128, 4.128 and 3.805 Å, with angles of 90.00, 90.00 and 90.00 degrees. The asymmetric unit holds Ti at (0.000, 0.000, 0.000), S at (0.500, 0.500, 0.500), O at (0.000, 0.000, 0.500) and F at (0.000, 0.500, 0.000).

The computed energies, referenced to the most stable structure and given in meV per atom, are (a) 1258; (b) 0.